1.
! Zr3Be2Ni5 | the Alexandria database | PBE | optimized geometry; values from VASP
! DOS(E_F), states/eV per cell: 16.14
! Energy relative to the elements, kJ/mol of formula units: -419
! Density, Mg/m³: 7.175
! Total DFT energy (no corrections), eV per atom: -6.64
&SYSTEM
  ibrav = 0, nat = 20, ntyp = 3
/
ATOMIC_SPECIES
Zr 91.22 Zr.upf
Be 9.01 Be.upf
Ni 58.69 Ni.upf
ATOMIC_POSITIONS angstrom
Zr 0.000 2.885 7.355
Zr 0.000 6.056 1.586
Zr 0.000 1.586 2.885
Zr 0.000 7.355 6.056
Zr 0.000 0.000 0.000
Zr 0.000 4.471 4.471
Be 0.000 1.029 5.499
Be 0.000 7.912 3.442
Be 0.000 3.442 1.029
Be 0.000 5.499 7.912
Ni 1.694 1.992 0.600
Ni 1.694 6.949 8.341
Ni 1.694 8.341 1.992
Ni 1.694 0.600 6.949
Ni 1.694 2.479 5.071
Ni 1.694 6.462 3.870
Ni 1.694 5.071 6.462
Ni 1.694 3.870 2.479
Ni 1.694 0.000 4.471
Ni 1.694 4.471 0.000
CELL_PARAMETERS angstrom
3.388 0.000 0.000
0.000 8.941 0.000
0.000 0.000 8.941

2.
! Rb4Ag2Hg | the Alexandria database | PBE | optimized geometry; values from VASP
! DOS(E_F), states/eV per cell: 4.09
! Energy relative to the elements, kJ/mol of formula units: 1
! Density, Mg/m³: 3.433
! Total DFT energy (no corrections), eV per atom: -1.41
&SYSTEM
  ibrav = 0, nat = 7, ntyp = 3
/
ATOMIC_SPECIES
Rb 85.47 Rb.upf
Ag 107.87 Ag.upf
Hg 200.59 Hg.upf
ATOMIC_POSITIONS angstrom
Rb 0.151 3.808 0.802
Rb 3.566 2.726 3.520
Rb 1.129 -0.805 5.982
Rb 2.589 7.339 -1.660
Ag 0.519 0.833 2.752
Ag 3.198 5.701 1.570
Hg 0.000 0.000 0.000
CELL_PARAMETERS angstrom
5.604 0.000 -1.057
-0.613 8.650 -3.248
-1.274 -2.116 8.628

3.
! UTa2VC4 | the Alexandria database | PBE | optimized geometry; values from VASP
! DOS(E_F), states/eV per cell: 10.14
! Energy relative to the elements, kJ/mol of formula units: -270
! Density, Mg/m³: 11.804
! Total DFT energy (no corrections), eV per atom: -10.48
&SYSTEM
  ibrav = 0, nat = 16, ntyp = 4
/
ATOMIC_SPECIES
U 238.03 U.upf
Ta 180.95 Ta.upf
V 50.94 V.upf
C 12.01 C.upf
ATOMIC_POSITIONS angstrom
U 0.000 1.243 8.269
U 1.599 4.335 2.756
Ta 0.000 4.138 5.961
Ta 1.599 1.439 0.448
Ta 1.599 1.439 5.064
Ta 0.000 4.138 10.576
V 1.599 3.842 8.269
V 0.000 1.735 2.756
C 0.000 2.952 1.285
C 1.599 2.626 6.798
C 1.599 2.626 9.740
C 0.000 2.952 4.227
C 0.000 0.000 5.512
C 0.000 0.000 0.000
C 0.000 5.015 8.269
C 1.599 0.562 2.756
CELL_PARAMETERS angstrom
3.198 0.000 0.000
-1.599 5.578 0.000
0.000 0.000 11.025

4.
! TiTlRh3 | the Alexandria database | PBE | optimized geometry; values from VASP
! Energy relative to the lowest polymorph listed for this composition, meV/atom: 0
! DOS(E_F), states/eV per cell: 0.32
! Energy relative to the elements, kJ/mol of formula units: 197
! Density, Mg/m³: 9.600
! Total DFT energy (no corrections), eV per atom: -6.05
&SYSTEM
  ibrav = 0, nat = 5, ntyp = 3
/
ATOMIC_SPECIES
Tl 204.38 Tl.upf
Rh 102.91 Rh.upf
Ti 47.87 Ti.upf
ATOMIC_POSITIONS angstrom
Tl 2.298 2.298 2.298
Rh 0.000 2.298 0.000
Rh 0.000 0.000 2.298
Rh 2.298 0.000 0.000
Ti 0.000 0.000 0.000
CELL_PARAMETERS angstrom
4.595 0.000 0.000
0.000 4.595 0.000
0.000 0.000 4.595